Entry 1:
The following is a PBE-GGA calculation of AcLaHo2As4 after structural relaxation, from the Alexandria database.

Properties
* symmetry: No. 10
* E_form: -1498 meV/atom

```
data_AcLaHo2As4
_chemical_formula_sum 'Ac1 La1 Ho2 As4'
_symmetry_space_group_name_H-M 'P 1'
_symmetry_Int_Tables_number 1
_symmetry_space_group_name_Hall 'P 1'
_cell_length_a 4.287
_cell_length_b 7.417
_cell_length_c 7.422
_cell_angle_alpha 70.54
_cell_angle_beta 90.00
_cell_angle_gamma 90.00
loop_
_atom_site_label
_atom_site_fract_x
_atom_site_fract_y
_atom_site_fract_z
La1 0.000 0.500 0.500
As1 0.500 0.232 0.752
Ac1 0.500 0.500 0.000
As2 0.000 0.771 0.739
Ho1 0.000 0.000 0.000
As3 0.500 0.768 0.248
As4 0.000 0.229 0.261
Ho2 0.500 0.000 0.500
```


Entry 2:
The following is a PBE-GGA calculation of SiGeN after structural relaxation, from the Alexandria database.

Properties
* symmetry: No. 44
* distance to the lowest polymorph of the same formula: 0.287 eV/atom
* formation energy (no corrections): -0.17 eV/atom

```
data_SiGeN
_chemical_formula_sum 'Si2 Ge2 N2'
_symmetry_space_group_name_H-M 'P 1'
_symmetry_Int_Tables_number 1
_symmetry_space_group_name_Hall 'P 1'
_cell_length_a 2.845
_cell_length_b 4.281
_cell_length_c 8.325
_cell_angle_alpha 90.00
_cell_angle_beta 90.00
_cell_angle_gamma 90.00
loop_
_atom_site_label
_atom_site_fract_x
_atom_site_fract_y
_atom_site_fract_z
N1 0.000 0.500 0.458
Si1 0.500 0.500 0.338
N2 0.500 0.000 0.958
Ge1 0.500 0.000 0.188
Si2 0.000 0.000 0.838
Ge2 0.000 0.500 0.688
```


Entry 3:
The following is a PBE-GGA calculation of Ca2AlCd after structural relaxation, from the Alexandria database.

Properties
* symmetry: No. 47
* E_form: -275 meV/atom

```
data_Ca2AlCd
_chemical_formula_sum 'Ca2 Al1 Cd1'
_symmetry_space_group_name_H-M 'P 1'
_symmetry_Int_Tables_number 1
_symmetry_space_group_name_Hall 'P 1'
_cell_length_a 3.790
_cell_length_b 3.759
_cell_length_c 8.461
_cell_angle_alpha 63.66
_cell_angle_beta 90.00
_cell_angle_gamma 90.00
loop_
_atom_site_label
_atom_site_fract_x
_atom_site_fract_y
_atom_site_fract_z
Ca1 0.000 0.009 0.991
Ca2 0.000 0.491 0.509
Al1 0.500 0.750 0.750
Cd1 0.500 0.250 0.250
```


Entry 4:
The following is a PBE-GGA calculation of Sc2RhPb after structural relaxation, from the Alexandria database.

Properties
* symmetry: No. 99
* E_form: -314 meV/atom

```
data_Sc2RhPb
_chemical_formula_sum 'Sc2 Rh1 Pb1'
_symmetry_space_group_name_H-M 'P 1'
_symmetry_Int_Tables_number 1
_symmetry_space_group_name_Hall 'P 1'
_cell_length_a 3.388
_cell_length_b 3.388
_cell_length_c 7.415
_cell_angle_alpha 90.00
_cell_angle_beta 90.00
_cell_angle_gamma 90.00
loop_
_atom_site_label
_atom_site_fract_x
_atom_site_fract_y
_atom_site_fract_z
Sc1 0.000 0.000 0.953
Sc2 0.500 0.500 0.251
Pb1 0.000 0.000 0.528
Rh1 0.500 0.500 0.767
```